A plane-wave DFT calculation with PBE-GGA was carried out for Y2HAu after structural relaxation.

```
Y2HAu
1.0
3.881 0.000 0.000
1.941 3.361 0.000
1.941 1.120 6.566
Y H Au
2 1 1
direct
0.763 0.763 0.712 Y
0.237 0.237 0.288 Y
0.500 0.500 0.500 H
0.000 0.000 0.000 Au
```

## Properties
Offset from the most stable computed form: 222 meV/atom
Fermi-level density of states: 3.59 states/eV/f.u.
DFT total energy: -5.356 eV/atom